Record 1
A relaxed structure of Rb2PrInO4, computed with PBE.

**Energy relative to the elements, uncorrected**: -15.1 eV/f.u.
**Calculated density**: 5.77 g cm⁻³

abc: 7.3688 7.3688 7.4890
angles: 120.54 120.54 90.21
Atoms (fractional coordinates):
O: 0.2352 0.2649 0.4483
O: 0.8119 0.2627 0.0373
O: 0.2351 0.2648 0.0517
O: 0.7627 0.3119 0.5373
O: 0.7648 0.7351 0.5517
O: 0.7649 0.7352 0.9483
O: 0.1881 0.7373 0.9627
O: 0.2373 0.6881 0.4627
Rb: 0.5000 0.5000 0.0000
Rb: 0.0000 0.0000 0.5000
Rb: 0.5000 0.0000 0.5000
Rb: 0.5000 0.0000 0.0000
In: 0.5000 0.5000 0.5000
In: 0.0000 0.0000 0.0000
Pr: 0.0000 0.5000 0.0000
Pr: 0.0000 0.5000 0.5000


Record 2
A relaxed structure of TeBr, computed with PBE.

**Energy relative to the elements, uncorrected**: -0.3 eV/f.u.
**Calculated density**: 3.77 g cm⁻³
**Density of states at the Fermi level**: 0.0000 states/eV per atom

abc: 7.1552 8.5339 5.9940
angles: 90.00 90.00 90.00
Atoms (fractional coordinates):
Br: 0.7500 0.2500 0.1961
Br: 0.7500 0.7500 0.8039
Br: 0.2500 0.7500 0.1961
Br: 0.2500 0.2500 0.8039
Te: 0.8142 0.5000 0.5000
Te: 0.1858 0.5000 0.5000
Te: 0.6858 0.0000 0.5000
Te: 0.3142 0.0000 0.5000


Record 3
A relaxed structure of Ac2Ga2NiRu, computed with PBE.

**Calculated density**: 8.68 g cm⁻³
**Density of states at the Fermi level**: 0.8386 states/eV per atom
**Energy relative to the elements**: -0.471 eV per atom

abc: 6.1790 6.3779 8.5578
angles: 111.88 111.16 90.00
Atoms (fractional coordinates):
Ru: 0.0000 0.2500 0.0000
Ru: 0.0000 0.7500 0.0000
Ga: 0.8217 0.0832 0.1664
Ga: 0.3447 0.5832 0.1664
Ga: 0.1783 0.9168 0.8336
Ga: 0.6553 0.4168 0.8336
Ni: 0.5000 0.7500 0.0000
Ni: 0.5000 0.2500 0.0000
Ac: 0.9101 0.6531 0.3061
Ac: 0.0899 0.3469 0.6939
Ac: 0.6039 0.8469 0.6939
Ac: 0.3961 0.1531 0.3061